# 1
Computed, not measured: a relaxed KPd2Br8 crystal at the PBE-GGA level of DFT.

Calculated values
M_tot = 0.000 μB per formula unit
raw formation energy = -279 meV/atom
space group = C2/m (12)
DOS(E_F) = 0.49 states/eV/atom
volume = 395 Å³/f.u.
E_tot = -27.94 eV/cell

Geometry as POSCAR:
```
KPd2Br8
1.0
5.850 -4.122 0.000
5.850 4.122 0.000
-3.821 0.000 8.186
K Pd Br
1 2 8
Cartesian
0.000 0.000 0.000 K
-0.229 0.000 5.240 Pd
8.108 0.000 2.945 Pd
3.765 2.468 1.988 Br
1.460 0.000 3.519 Br
4.114 2.468 6.198 Br
1.678 0.000 6.877 Br
6.202 0.000 1.309 Br
3.765 -2.468 1.988 Br
6.419 0.000 4.667 Br
4.114 -2.468 6.198 Br
```



# 2
Computed, not measured: a relaxed Cu5PbO6 crystal at the PBE-GGA level of DFT.

Calculated values
M_tot = 0.000 μB per formula unit
raw formation energy = -555 meV/atom
space group = C2/m (12)
DOS(E_F) = 0.36 states/eV/atom
volume = 144 Å³/f.u.
E_tot = -60.60 eV/cell

Geometry as POSCAR:
```
Cu5PbO6
1.0
3.240 -4.298 0.000
3.240 4.298 0.000
-2.709 0.000 5.172
Cu Pb O
5 1 6
Cartesian
0.000 0.000 0.000 Cu
1.886 3.003 2.586 Cu
3.240 1.445 0.000 Cu
3.240 -1.445 0.000 Cu
1.886 -3.003 2.586 Cu
1.886 0.000 2.586 Pb
0.455 2.886 3.871 O
3.316 2.886 1.301 O
-0.087 0.000 4.050 O
3.858 0.000 1.122 O
0.455 -2.886 3.871 O
3.316 -2.886 1.301 O
```



E_tot of number 2 (Cu5PbO6)?
-60.60 eV/cell